SCAN Li2ReIr, PBEsol geometry; DOS(E_F) = 0.787 states/eV per atom; energy of formation = 569 meV per atom; SG = Fm-3m (225)
1.0
-1.175 3.887 -0.199
-1.251 1.920 3.358
2.307 2.909 1.658
Li Re Ir
2 1 1
Cartesian
-0.090 6.537 3.612
-0.030 2.179 1.204
-0.060 4.358 2.408
0.000 0.000 0.000